A plane-wave DFT calculation with GGA-PBE was carried out for HoThSb2N after structural relaxation.

## Properties
Calculated total energy = -6.706 eV per atom
E_form (uncorrected) = -0.992 eV per atom
Space group = P4/nmm
Fermi-level density of states = 3.2 states/eV/f.u.

```
10
Lattice="-2.221 -1.789 3.033 -2.726 -1.396 -2.820 7.895 -12.361 -1.510" Properties=species:S:1:pos:R:3 pbc="T T T"
Ho -0.543 -1.782 1.408
Ho 5.965 -12.171 -2.812
Sb 1.069 -4.306 1.099
Sb -0.264 -2.418 -1.620
Th 1.987 -5.942 -2.051
N 3.948 -6.180 -0.755
N 1.475 -7.773 -0.649
Th 3.435 -8.011 0.647
Sb 5.686 -11.535 0.216
Sb 4.353 -9.647 -2.503
```